Entry 1:
First-principles (PBE-GGA) data for a relaxed structure of Ta2CuRh2, as listed in Alexandria.

Values from the calculation:
E above lowest polymorph (eV/f.u.): 2.33
Calculated volume (Å³/cell): 88

Cell lengths 3.6959, 3.6959, 6.9647 Å; angles 74.61, 74.61, 90.00 degrees
Closest atoms and distances in Å follow each position.
Fractional coordinates of all 5 atoms:
Rh  0.7500  0.2500  0.5000  4 Rh 2.61, 4 Ta 2.62
Rh  0.2500  0.7500  0.5000  4 Rh 2.61, 4 Ta 2.62
Cu  0.0000  0.0000  0.0000  8 Ta 2.95
Ta  0.3935  0.3935  0.2131  4 Rh 2.62, 1 Ta 2.75
Ta  0.6065  0.6065  0.7869  4 Rh 2.62, 1 Ta 2.75


Entry 2:
First-principles (PBE-GGA) data for a relaxed structure of TaCuRh2, as listed in Alexandria.

Values from the calculation:
Calculated volume (Å³/cell): 129

Cell lengths 6.7979, 6.7979, 5.5604 Å; angles 52.32, 52.32, 90.00 degrees
Closest atoms and distances in Å follow each position.
Fractional coordinates of all 8 atoms:
Rh  0.6328  0.1250  0.2500  2 Ta 2.47, 2 Cu 2.54
Rh  0.1172  0.6250  0.2500  2 Ta 2.47, 2 Cu 2.54
Rh  0.3750  0.3672  0.7500  2 Ta 2.47, 2 Cu 2.54
Rh  0.8750  0.8828  0.7500  2 Ta 2.47, 2 Cu 2.54
Cu  0.5000  0.5000  0.0000  4 Rh 2.54, 2 Ta 2.80
Cu  0.2500  0.7500  0.5000  4 Rh 2.54, 2 Ta 2.80
Ta  0.0000  0.0000  0.0000  4 Rh 2.47
Ta  0.7500  0.2500  0.5000  4 Rh 2.47


The records above give, respectively, formation enthalpy at 0 K values of 0.2775; 0.0575 eV/atom.